Below is a geometry-optimized PmDy2In3Te6 structure, with properties calculated at the PBE level.

DOS(E_F): 2.48 states/eV/cell
M_tot: 0.00 μB/f.u.

Cell lengths 7.6921, 13.3218, 8.5073 Å; angles 90.00, 107.55, 90.00 degrees
Space group C2/m (No. 12)
Inequivalent atoms, fractional coordinates:
Pm 0.0000 0.0000 0.0000 x2
Dy 0.0000 0.3331 0.0000 x4
In 0.0000 0.1649 0.5000 x4
In 0.0000 0.5000 0.5000 x2
Te 0.2339 0.5000 0.2198 x4
Te 0.2437 0.1697 0.2216 x8

***

Below is a geometry-optimized Pm3DyIn3Te8 structure, with properties calculated at the PBE level.

DOS(E_F): 17.73 states/eV/cell
M_tot: 0.00 μB/f.u.

Cell lengths 8.9046, 8.9046, 23.6946 Å; angles 90.00, 90.00, 120.00 degrees
Space group R-3m (No. 166, hexagonal axes)
Inequivalent atoms, fractional coordinates:
Pm 0.0000 0.5000 0.0000 x9
Dy 0.0000 0.0000 0.0000 x3
In 0.0000 0.5000 0.5000 x9
Te 0.0000 0.0000 0.2556 x6
Te 0.0052 0.5026 0.7427 x18

***

Number 1: E_form (uncorrected) -976.4 meV per atom. Number 2: E_form (uncorrected) -1019.8 meV per atom.